No. 1
# LaHo3Er GGA-PBE relaxed
# Formation energy from the elements: 0.345 eV per atom
data_LaHo3Er
_chemical_formula_sum 'La2 Ho6 Er2'
_symmetry_space_group_name_H-M 'P 1 21/m 1'
_symmetry_Int_Tables_number 11
_symmetry_space_group_name_Hall '-P 2yb'
_cell_length_a 3.661
_cell_length_b 11.581
_cell_length_c 8.512
_cell_angle_alpha 90.00
_cell_angle_beta 102.42
_cell_angle_gamma 90.00
loop_
_atom_site_label
_atom_site_type_symbol
_atom_site_fract_x
_atom_site_fract_y
_atom_site_fract_z
_atom_site_occupancy
La1 La 0.192 0.250 0.385 1
Ho1 Ho 0.143 0.750 0.286 1
Ho2 Ho 0.347 0.003 0.695 1
Er1 Er 0.482 0.750 0.962 1

No. 2
# Ti7Be2N2 GGA-PBE relaxed
# Formation energy without anion corrections: -0.50 eV/atom
data_Ti7Be2N2
_chemical_formula_sum 'Ti14 Be4 N4'
_symmetry_space_group_name_H-M 'C m m m'
_symmetry_Int_Tables_number 65
_symmetry_space_group_name_Hall '-C 2 2'
_cell_length_a 6.369
_cell_length_b 8.516
_cell_length_c 5.310
_cell_angle_alpha 90.00
_cell_angle_beta 90.00
_cell_angle_gamma 90.00
loop_
_atom_site_label
_atom_site_type_symbol
_atom_site_fract_x
_atom_site_fract_y
_atom_site_fract_z
_atom_site_occupancy
Ti1 Ti 0.000 0.000 0.000 1
Ti2 Ti 0.000 0.500 0.246 1
Ti3 Ti 0.250 0.250 0.247 1
Be1 Be 0.164 0.000 0.500 1
N1 N 0.000 0.274 0.000 1

No. 3
# CaBS GGA-PBE relaxed
# Formation energy without anion corrections: -0.85 eV/atom
data_CaBS
_chemical_formula_sum 'Ca4 B4 S4'
_symmetry_space_group_name_H-M 'C 1 m 1'
_symmetry_Int_Tables_number 8
_symmetry_space_group_name_Hall 'C -2y'
_cell_length_a 16.315
_cell_length_b 3.383
_cell_length_c 4.042
_cell_angle_alpha 90.00
_cell_angle_beta 100.28
_cell_angle_gamma 90.00
loop_
_atom_site_label
_atom_site_type_symbol
_atom_site_fract_x
_atom_site_fract_y
_atom_site_fract_z
_atom_site_occupancy
Ca1 Ca 0.000 0.000 0.000 1
Ca2 Ca 0.215 0.000 0.642 1
B1 B 0.334 0.252 0.254 1
S1 S 0.138 0.500 0.077 1
S2 S 0.444 0.000 0.456 1

No. 4
# Pr3ErMg3 GGA-PBE relaxed
# Formation energy from the elements: 0.068 eV per atom
data_Pr3ErMg3
_chemical_formula_sum 'Pr12 Er4 Mg12'
_symmetry_space_group_name_H-M 'C 1 2/m 1'
_symmetry_Int_Tables_number 12
_symmetry_space_group_name_Hall '-C 2y'
_cell_length_a 7.460
_cell_length_b 10.831
_cell_length_c 10.771
_cell_angle_alpha 90.00
_cell_angle_beta 90.07
_cell_angle_gamma 90.00
loop_
_atom_site_label
_atom_site_type_symbol
_atom_site_fract_x
_atom_site_fract_y
_atom_site_fract_z
_atom_site_occupancy
Pr1 Pr 0.000 0.174 0.000 1
Pr2 Pr 0.000 0.224 0.500 1
Pr3 Pr 0.002 0.500 0.824 1
Er1 Er 0.214 0.500 0.499 1
Mg1 Mg 0.000 0.000 0.262 1
Mg2 Mg 0.250 0.249 0.747 1

No. 5
# NaCaV2 GGA-PBE relaxed
# Formation energy from the elements: 1.298 eV per atom
data_NaCaV2
_chemical_formula_sum 'Na4 Ca4 V8'
_symmetry_space_group_name_H-M 'I -4 2 d'
_symmetry_Int_Tables_number 122
_symmetry_space_group_name_Hall 'I -4 2bw'
_cell_length_a 8.328
_cell_length_b 8.328
_cell_length_c 5.861
_cell_angle_alpha 90.00
_cell_angle_beta 90.00
_cell_angle_gamma 90.00
loop_
_atom_site_label
_atom_site_type_symbol
_atom_site_fract_x
_atom_site_fract_y
_atom_site_fract_z
_atom_site_occupancy
Na1 Na 0.000 0.000 0.000 1
Ca1 Ca 0.000 0.000 0.500 1
V1 V 0.234 0.250 0.125 1

No. 6
# NaYCo2Rh GGA-PBE relaxed
# Formation energy from the elements: 1.665 eV per atom
data_NaYCo2Rh
_chemical_formula_sum 'Na1 Y1 Co2 Rh1'
_symmetry_space_group_name_H-M 'P 4/m m m'
_symmetry_Int_Tables_number 123
_symmetry_space_group_name_Hall '-P 4 2'
_cell_length_a 4.553
_cell_length_b 4.553
_cell_length_c 4.978
_cell_angle_alpha 90.00
_cell_angle_beta 90.00
_cell_angle_gamma 90.00
loop_
_atom_site_label
_atom_site_type_symbol
_atom_site_fract_x
_atom_site_fract_y
_atom_site_fract_z
_atom_site_occupancy
Na1 Na 0.000 0.000 0.000 1
Y1 Y 0.000 0.000 0.500 1
Co1 Co 0.000 0.500 0.500 1
Rh1 Rh 0.500 0.500 0.000 1

No. 7
# P2Ru2Pb GGA-PBE relaxed
# Formation energy from the elements: 0.053 eV per atom
data_P2Ru2Pb
_chemical_formula_sum 'P4 Ru4 Pb2'
_symmetry_space_group_name_H-M 'P 4/m b m'
_symmetry_Int_Tables_number 127
_symmetry_space_group_name_Hall '-P 4 2ab'
_cell_length_a 7.496
_cell_length_b 7.496
_cell_length_c 2.940
_cell_angle_alpha 90.00
_cell_angle_beta 90.00
_cell_angle_gamma 90.00
loop_
_atom_site_label
_atom_site_type_symbol
_atom_site_fract_x
_atom_site_fract_y
_atom_site_fract_z
_atom_site_occupancy
P1 P 0.129 0.371 0.000 1
Ru1 Ru 0.132 0.632 0.500 1
Pb1 Pb 0.000 0.000 0.500 1

No. 8
# Ta2SnHRu GGA-PBE relaxed
# E: -8.098 eV/atom
data_Ta2SnHRu
_chemical_formula_sum 'Ta2 Sn1 H1 Ru1'
_symmetry_space_group_name_H-M 'P 4/m m m'
_symmetry_Int_Tables_number 123
_symmetry_space_group_name_Hall '-P 4 2'
_cell_length_a 4.140
_cell_length_b 4.140
_cell_length_c 4.215
_cell_angle_alpha 90.00
_cell_angle_beta 90.00
_cell_angle_gamma 90.00
loop_
_atom_site_label
_atom_site_type_symbol
_atom_site_fract_x
_atom_site_fract_y
_atom_site_fract_z
_atom_site_occupancy
Ta1 Ta 0.000 0.500 0.000 1
Sn1 Sn 0.000 0.000 0.500 1
H1 H 0.500 0.500 0.000 1
Ru1 Ru 0.500 0.500 0.500 1

No. 9
# LiCaErI6 GGA-PBE relaxed
# Formation energy without anion corrections: -1.38 eV/atom
data_LiCaErI6
_chemical_formula_sum 'Li2 Ca2 Er2 I12'
_symmetry_space_group_name_H-M 'P -3 1 c'
_symmetry_Int_Tables_number 163
_symmetry_space_group_name_Hall '-P 3 2c'
_cell_length_a 7.6759
_cell_length_b 7.6759
_cell_length_c 13.9231
_cell_angle_alpha 90.00
_cell_angle_beta 90.00
_cell_angle_gamma 120.00
loop_
_atom_site_label
_atom_site_type_symbol
_atom_site_fract_x
_atom_site_fract_y
_atom_site_fract_z
_atom_site_occupancy
Li1 Li 0.0000 0.0000 0.0000 1
Ca1 Ca 0.3333 0.6667 0.2500 1
Er1 Er 0.3333 0.6667 0.7500 1
I1 I 0.0125 0.3447 0.6246 1

No. 10
# Zn3AgF8 GGA-PBE relaxed
# Formation energy without anion corrections: -1.94 eV/atom
data_Zn3AgF8
_chemical_formula_sum 'Zn6 Ag2 F16'
_symmetry_space_group_name_H-M 'C 1 m 1'
_symmetry_Int_Tables_number 8
_symmetry_space_group_name_Hall 'C -2y'
_cell_length_a 12.853
_cell_length_b 4.073
_cell_length_c 6.597
_cell_angle_alpha 90.00
_cell_angle_beta 97.54
_cell_angle_gamma 90.00
loop_
_atom_site_label
_atom_site_type_symbol
_atom_site_fract_x
_atom_site_fract_y
_atom_site_fract_z
_atom_site_occupancy
Zn1 Zn 0.000 0.000 0.000 1
Zn2 Zn 0.133 0.000 0.598 1
Zn3 Zn 0.305 0.000 0.985 1
Ag1 Ag 0.445 0.000 0.465 1
F1 F 0.040 0.000 0.316 1
F2 F 0.107 0.500 0.593 1
F3 F 0.146 0.000 0.930 1
F4 F 0.286 0.000 0.678 1
F5 F 0.302 0.000 0.287 1
F6 F 0.338 0.500 0.002 1
F7 F 0.472 0.000 0.018 1
F8 F 0.472 0.500 0.675 1

No. 11
# TbZnIr2 GGA-PBE relaxed
# Formation energy from the elements: -0.450 eV per atom
data_TbZnIr2
_chemical_formula_sum 'Tb1 Zn1 Ir2'
_symmetry_space_group_name_H-M 'P 4/m m m'
_symmetry_Int_Tables_number 123
_symmetry_space_group_name_Hall '-P 4 2'
_cell_length_a 4.235
_cell_length_b 4.235
_cell_length_c 3.790
_cell_angle_alpha 90.00
_cell_angle_beta 90.00
_cell_angle_gamma 90.00
loop_
_atom_site_label
_atom_site_type_symbol
_atom_site_fract_x
_atom_site_fract_y
_atom_site_fract_z
_atom_site_occupancy
Tb1 Tb 0.000 0.000 0.000 1
Zn1 Zn 0.500 0.500 0.000 1
Ir1 Ir 0.000 0.500 0.500 1

No. 12
# BeVAg GGA-PBE relaxed
# Formation energy from the elements: 0.336 eV per atom
data_BeVAg
_chemical_formula_sum 'Be2 V2 Ag2'
_symmetry_space_group_name_H-M 'P 1'
_symmetry_Int_Tables_number 1
_symmetry_space_group_name_Hall 'P 1'
_cell_length_a 2.714
_cell_length_b 4.324
_cell_length_c 7.417
_cell_angle_alpha 87.35
_cell_angle_beta 81.92
_cell_angle_gamma 73.05
loop_
_atom_site_label
_atom_site_type_symbol
_atom_site_fract_x
_atom_site_fract_y
_atom_site_fract_z
_atom_site_occupancy
Be1 Be 0.000 0.000 0.000 1
Be2 Be 0.042 0.054 0.646 1
V1 V 0.437 0.093 0.282 1
V2 V 0.550 0.567 0.182 1
Ag1 Ag 0.300 0.439 0.851 1
Ag2 Ag 0.859 0.605 0.519 1